P | Here is an optimized crystal structure of Sn2BCl from Alexandria. Energies are from GGA-PBE. Values from VASP.

```
&SYSTEM
  ibrav = 0, nat = 4, ntyp = 3
/
ATOMIC_SPECIES
Cl 35.45 Cl.upf
Sn 118.71 Sn.upf
B 10.81 B.upf
CELL_PARAMETERS angstrom
-1.714 -3.471 2.919
-1.241 1.065 4.564
-4.670 0.014 1.302
ATOMIC_POSITIONS crystal
Cl 0.500 0.500 0.500
Sn 0.250 0.250 0.250
Sn 0.750 0.750 0.750
B 0.000 0.000 0.000
```

Results
- Crystal system: cubic

Q | Here is an optimized crystal structure of Sn2BCl from Alexandria. Energies are from GGA-PBE. Values from VASP.

```
&SYSTEM
  ibrav = 0, nat = 8, ntyp = 3
/
ATOMIC_SPECIES
B 10.81 B.upf
Sn 118.71 Sn.upf
Cl 35.45 Cl.upf
CELL_PARAMETERS angstrom
6.830 0.000 0.000
0.000 6.830 0.000
3.415 3.415 4.235
ATOMIC_POSITIONS crystal
B 0.500 0.500 0.000
Sn 0.875 0.783 0.750
Cl 0.750 0.250 0.500
Sn 0.533 0.125 0.250
Sn 0.375 0.467 0.750
Cl 0.000 0.000 0.000
B 0.250 0.750 0.500
Sn 0.217 0.625 0.250
```

Results
- Crystal system: tetragonal

Decreasing stability: Q, P